1.
The following is a PBE-GGA calculation of a geometry-optimized Nd3Y5 structure, from Alexandria.

abc: 3.670 5.775 12.744
angles: 90.00 90.00 90.00
Atoms (fractional coordinates):
Nd 0.500 0.000 0.712
Nd 0.500 0.500 0.539
Nd 0.000 0.500 0.792
Y 0.000 0.000 0.962
Y 0.500 0.000 0.207
Y 0.000 0.000 0.454
Y 0.500 0.500 0.044
Y 0.000 0.500 0.290

Properties
Density, g/cm³: 5.39
Space group: Pmm2, No. 25
Energy of formation from the pure elements, eV per atom: 0.016
Fermi-level density of states, states/eV/cell: 14.54
Final energy, eV for the cell shown: -46.496

2.
The following is a PBE-GGA calculation of a geometry-optimized NpUP structure, from Alexandria.

abc: 3.542 4.789 6.687
angles: 90.00 105.36 90.00
Atoms (fractional coordinates):
P 0.901 0.250 0.801
P 0.099 0.750 0.199
Np 0.223 0.250 0.446
Np 0.777 0.750 0.554
U 0.588 0.250 0.176
U 0.412 0.750 0.824

Properties
Density, g/cm³: 15.37
Space group: Cmcm, No. 63
Energy of formation from the pure elements, eV per atom: -0.568
Fermi-level density of states, states/eV/cell: 11.87
Final energy, eV for the cell shown: -62.684

3.
The following is a PBE-GGA calculation of a geometry-optimized Sc2CuRhC structure, from Alexandria.

abc: 4.536 4.536 3.867
angles: 90.00 90.00 90.00
Atoms (fractional coordinates):
Sc 0.000 0.500 0.000
Sc 0.500 0.000 0.000
C 0.000 0.000 0.000
Rh 0.000 0.000 0.500
Cu 0.500 0.500 0.500

Properties
Density, g/cm³: 5.60
Space group: P4/mmm, No. 123
Energy of formation from the pure elements, eV per atom: -0.411
Fermi-level density of states, states/eV/cell: 1.93
Final energy, eV for the cell shown: -35.388

4.
The following is a PBE-GGA calculation of a geometry-optimized LiScC2 structure, from Alexandria.

abc: 3.570 3.570 6.906
angles: 75.02 75.02 90.00
Atoms (fractional coordinates):
Sc 0.000 0.000 0.000
Sc 0.750 0.250 0.500
C 0.452 0.125 0.250
C 0.298 0.625 0.250
C 0.375 0.548 0.750
C 0.875 0.702 0.750
Li 0.500 0.500 0.000
Li 0.250 0.750 0.500

Properties
Density, g/cm³: 3.08
Space group: I-42d, No. 122
Energy of formation from the pure elements, eV per atom: 0.783
Fermi-level density of states, states/eV/cell: 2.82
Final energy, eV for the cell shown: -47.121

5.
The following is a PBE-GGA calculation of a geometry-optimized YZn3Au3 structure, from Alexandria.

abc: 8.604 8.604 8.604
angles: 60.00 60.00 60.00
Last column: magnetic moment on the atom in μB.
Atoms (fractional coordinates):
Y 0.250 0.250 0.250  0.06
Y 0.750 0.750 0.750  0.06
Zn 0.146 0.854 0.854  0.00
Zn 0.146 0.854 0.146  0.00
Zn 0.146 0.146 0.854  0.00
Zn 0.854 0.146 0.854  0.00
Zn 0.854 0.146 0.146  0.00
Zn 0.854 0.854 0.146  0.00
Au 0.339 0.661 0.339  0.00
Au 0.339 0.661 0.661  0.00
Au 0.339 0.339 0.661  0.00
Au 0.661 0.339 0.661  0.00
Au 0.661 0.339 0.339  0.00
Au 0.661 0.661 0.339  0.00

Properties
Density, g/cm³: 6.46
Space group: Fm-3m, No. 225
Energy of formation from the pure elements, eV per atom: 0.634
Fermi-level density of states, states/eV/cell: 13.75
Final energy, eV for the cell shown: -31.363